# Tm4Mg3Ga, optimized geometry, DFT PBE
data_Tm4Mg3Ga
_chemical_formula_sum 'Tm4 Mg3 Ga1'
_symmetry_space_group_name_H-M 'P 4/m m m'
_symmetry_Int_Tables_number 123
_symmetry_space_group_name_Hall '-P 4 2'
_cell_length_a 3.657
_cell_length_b 3.657
_cell_length_c 15.042
_cell_angle_alpha 90.00
_cell_angle_beta 90.00
_cell_angle_gamma 90.00
loop_
_atom_site_label
_atom_site_fract_x
_atom_site_fract_y
_atom_site_fract_z
Tm1 0.000 0.000 0.112
Tm2 0.000 0.000 0.369
Mg1 0.500 0.500 0.242
Mg2 0.500 0.500 0.500
Ga1 0.500 0.500 0.000
# Formation energy from the elements = -0.1924 eV/atom
# Calculated total energy = -3.40 eV/atom
# ρ = 6.76 Mg/m³